{"formula": "MgCo2HgO", "functional": "PBE with a Hubbard U", "state": "optimized geometry", "lattice_angstrom": [[4.150, 0.000, 0.000], [0.000, 4.150, 0.000], [0.000, 0.000, 4.107]], "species": ["Mg", "Co", "Co", "Hg", "O"], "frac_coords": [[0.000, 0.000, 0.000], [0.000, 0.500, 0.500], [0.500, 0.000, 0.500], [0.500, 0.500, 0.000], [0.000, 0.000, 0.500]], "e_tot_ev_per_atom": -3.700, "vol_a3_per_atom": 14.15, "space_group": "P4/mmm, No. 123"}